BaAg3C | the Alexandria database | PBE | relaxed; energy relative to the elements = 57.93 kJ/mol of atoms; space-group type = Pm-3m, No. 221
1.0
4.712 0.000 0.000
0.000 4.712 0.000
0.000 0.000 4.712
C Ba Ag
1 1 3
Cartesian
0.000 0.000 0.000 C
2.356 2.356 2.356 Ba
0.000 2.356 0.000 Ag
0.000 0.000 2.356 Ag
2.356 0.000 0.000 Ag



ZrTl2Te3 | the Alexandria database | PBE | relaxed; formation energy (no corrections) = -0.5975 eV/atom; space-group type = C2/m, No. 12
1.0
7.575 0.003 -1.259
-4.059 6.396 -1.259
0.108 0.197 8.339
Zr Tl Te
2 4 6
Cartesian
-3.899 6.565 7.081 Zr
3.645 2.163 -1.259 Zr
5.691 1.167 2.911 Tl
-0.181 4.265 -1.259 Tl
-1.867 5.320 2.911 Tl
1.613 3.408 2.911 Tl
0.979 6.377 4.649 Te
-1.233 2.351 1.173 Te
4.396 3.950 4.660 Te
1.158 1.564 5.919 Te
2.647 0.768 1.162 Te
2.926 4.781 -0.097 Te